! SmMn5Ge3, optimized geometry, DFT GGA-PBE; values from VASP
! Final energy   -66.24 eV per formula unit
! Energy of formation from the pure elements   -1.83 eV per formula unit
&SYSTEM
  ibrav = 0, nat = 18, ntyp = 3
/
ATOMIC_SPECIES
Mn 54.94 Mn.upf
Ge 72.64 Ge.upf
Sm 150.36 Sm.upf
CELL_PARAMETERS angstrom
-2.9257 -1.5609 1.9949
5.0020 -4.1321 0.3493
3.7722 5.3906 9.7502
ATOMIC_POSITIONS crystal
Mn 0.5677 0.1354 0.8630
Mn 0.4323 0.8646 0.1370
Mn 0.4323 0.8646 0.3630
Ge 0.8787 0.7573 0.2500
Ge 0.3832 0.7664 0.5643
Ge 0.6168 0.2336 0.0643
Ge 0.6168 0.2336 0.4357
Mn 0.0000 0.0000 0.5000
Mn 0.8087 0.6173 0.4491
Mn 0.1913 0.3827 0.9491
Sm 0.8339 0.6678 0.7500
Ge 0.1213 0.2427 0.7500
Sm 0.1661 0.3322 0.2500
Mn 0.8087 0.6173 0.0509
Mn 0.5677 0.1354 0.6370
Mn 0.1913 0.3827 0.5509
Ge 0.3832 0.7664 0.9357
Mn 0.0000 0.0000 0.0000